! ScBeRu2 (GGA-PBE, optimized geometry); values from VASP
&SYSTEM
  ibrav = 0, nat = 4, ntyp = 3
/
ATOMIC_SPECIES
Sc 44.96 Sc.upf
Be 9.01 Be.upf
Ru 101.07 Ru.upf
CELL_PARAMETERS angstrom
3.045 0.000 0.000
0.000 3.045 0.000
0.000 0.000 6.177
ATOMIC_POSITIONS crystal
Sc 0.000 0.000 0.000
Be 0.500 0.500 0.303
Ru 0.000 0.000 0.448
Ru 0.500 0.500 0.723
! Total energy in eV/atom: -7.31
! Formation enthalpy at 0 K in eV per atom: -0.162
! SG: P4mm, No. 99
! ρ in g/cm³: 7.424

=====

! PmTi2TlO6 (GGA-PBE, optimized geometry); values from VASP
&SYSTEM
  ibrav = 0, nat = 20, ntyp = 4
/
ATOMIC_SPECIES
Pm 145.00 Pm.upf
Ti 47.87 Ti.upf
Tl 204.38 Tl.upf
O 16.00 O.upf
CELL_PARAMETERS angstrom
5.621 -5.343 0.000
5.621 5.343 0.000
-1.974 0.000 6.020
ATOMIC_POSITIONS crystal
Pm 0.203 0.797 0.750
Pm 0.797 0.203 0.250
Ti 0.123 0.296 0.693
Ti 0.296 0.123 0.193
Ti 0.704 0.877 0.807
Ti 0.877 0.704 0.307
Tl 0.399 0.601 0.250
Tl 0.601 0.399 0.750
O 0.110 0.693 0.368
O 0.140 0.198 0.393
O 0.198 0.140 0.893
O 0.209 0.516 0.804
O 0.307 0.890 0.132
O 0.484 0.791 0.696
O 0.516 0.209 0.304
O 0.693 0.110 0.868
O 0.791 0.484 0.196
O 0.802 0.860 0.107
O 0.860 0.802 0.607
O 0.890 0.307 0.632
! Total energy in eV/atom: -8.01
! Raw formation energy in meV per atom: -2748.0
! SG: C2/c, No. 15
! ρ in g/cm³: 4.969

=====

! CeSnMo (GGA-PBE, optimized geometry); values from VASP
&SYSTEM
  ibrav = 0, nat = 6, ntyp = 3
/
ATOMIC_SPECIES
Ce 140.12 Ce.upf
Sn 118.71 Sn.upf
Mo 95.94 Mo.upf
CELL_PARAMETERS angstrom
2.526 1.458 6.761
-2.526 1.458 6.761
0.000 -2.917 6.761
ATOMIC_POSITIONS crystal
Ce 0.129 0.129 0.129
Ce 0.871 0.871 0.871
Sn 0.386 0.386 0.386
Sn 0.614 0.614 0.614
Mo 0.247 0.247 0.247
Mo 0.753 0.753 0.753
! Total energy in eV/atom: -6.73
! Formation enthalpy at 0 K in eV per atom: 0.189
! SG: R-3m, No. 166
! ρ in g/cm³: 7.885

=====

! Pm2HgO (GGA-PBE, optimized geometry); values from VASP
&SYSTEM
  ibrav = 0, nat = 4, ntyp = 3
/
ATOMIC_SPECIES
Pm 145.00 Pm.upf
Hg 200.59 Hg.upf
O 16.00 O.upf
CELL_PARAMETERS angstrom
1.854 1.071 7.605
-1.854 1.071 7.605
0.000 -2.141 7.605
ATOMIC_POSITIONS crystal
Pm 0.226 0.226 0.226
Pm 0.774 0.774 0.774
Hg 0.000 0.000 0.000
O 0.500 0.500 0.500
! Total energy in eV/atom: -5.19
! Relative energy among the computed polymorphs in meV per atom: 60
! Raw formation energy in meV per atom: -1500.1
! SG: R-3m, No. 166
! ρ in g/cm³: 9.285

=====

Q: Among the records above, which one has the highest total energy?
A: Pm2HgO

=====

Q: Among the records above, which one has the highest total energy?
A: Pm2HgO

=====

Q: The highest total energy belongs to which entry?
A: Pm2HgO

=====

Q: What is the ρ in the first record?
A: 7.424 g/cm³